A geometry-optimized Sr3Cu structure. Source: Alexandria via LeMat-Bulk, functional PBE-GGA.

```
8
Lattice="7.592 0.000 0.000 -3.796 6.575 0.000 0.000 0.000 7.051" Properties=species:S:1:pos:R:3 pbc="T T T"
Sr -1.257 2.177 1.763
Sr -2.539 4.398 5.288
Sr 2.514 0.000 1.763
Sr 1.257 2.177 5.288
Sr 5.078 0.000 5.288
Sr 2.539 4.398 1.763
Cu 0.000 0.000 0.000
Cu 0.000 0.000 3.526
```

## Properties
E_form: -1 meV per atom
Space group: P6_3/mcm (193)